[1]
# HoInCu | OQMD via LeMat-Bulk | PBE | relaxed
# SG: P-62m, No. 189
# Uncorrected energy, eV per atom: -4.094
data_HoInCu
_chemical_formula_sum 'Ho3 In3 Cu3'
_symmetry_space_group_name_H-M 'P 1'
_symmetry_Int_Tables_number 1
_cell_length_a 7.470
_cell_length_b 7.470
_cell_length_c 3.907
_cell_angle_alpha 90.00
_cell_angle_beta 90.00
_cell_angle_gamma 120.00
loop_
_symmetry_equiv_pos_as_xyz
'x,y,z'
loop_
_atom_site_label
_atom_site_type_symbol
_atom_site_fract_x
_atom_site_fract_y
_atom_site_fract_z
_atom_site_occupancy
Cu1 Cu 0.333 0.667 0.000 1
Cu2 Cu 0.667 0.333 0.000 1
In1 In 0.252 0.000 0.000 1
In2 In 0.748 0.748 0.000 1
Ho1 Ho 0.591 0.000 0.500 1
Cu3 Cu 0.000 0.000 0.500 1
Ho2 Ho 0.000 0.591 0.500 1
Ho3 Ho 0.409 0.409 0.500 1
In3 In 0.000 0.252 0.000 1

***

[2]
# GaNiAgMo | OQMD via LeMat-Bulk | PBE | relaxed
# SG: F-43m, No. 216
# Uncorrected energy, eV per atom: -5.255
data_GaNiAgMo
_chemical_formula_sum 'Ga1 Ni1 Ag1 Mo1'
_symmetry_space_group_name_H-M 'P 1'
_symmetry_Int_Tables_number 1
_cell_length_a 4.387
_cell_length_b 4.387
_cell_length_c 4.387
_cell_angle_alpha 60.00
_cell_angle_beta 60.00
_cell_angle_gamma 60.00
loop_
_symmetry_equiv_pos_as_xyz
'x,y,z'
loop_
_atom_site_label
_atom_site_type_symbol
_atom_site_fract_x
_atom_site_fract_y
_atom_site_fract_z
_atom_site_occupancy
Ag1 Ag 0.500 0.500 0.500 1
Mo1 Mo 0.250 0.250 0.250 1
Ga1 Ga 0.000 0.000 0.000 1
Ni1 Ni 0.750 0.750 0.750 1

***

[3]
# HoCdSi | OQMD via LeMat-Bulk | PBE | relaxed
# SG: F-43m, No. 216
# Uncorrected energy, eV per atom: -3.923
data_HoCdSi
_chemical_formula_sum 'Ho1 Cd1 Si1'
_symmetry_space_group_name_H-M 'P 1'
_symmetry_Int_Tables_number 1
_cell_length_a 4.625
_cell_length_b 4.625
_cell_length_c 4.625
_cell_angle_alpha 60.00
_cell_angle_beta 60.00
_cell_angle_gamma 60.00
loop_
_symmetry_equiv_pos_as_xyz
'x,y,z'
loop_
_atom_site_label
_atom_site_type_symbol
_atom_site_fract_x
_atom_site_fract_y
_atom_site_fract_z
_atom_site_occupancy
Ho1 Ho 0.750 0.750 0.750 1
Cd1 Cd 0.250 0.250 0.250 1
Si1 Si 0.000 0.000 0.000 1